A PBEsol-optimized structure of Tl2FeAgC. Source: Alexandria via LeMat-Bulk, functional meta-GGA SCAN.

Properties
Formation energy from the elements (eV per atom): 0.802
Electronic total energy (eV per cell): -200.31

abc: 5.0930 5.0930 3.5801
angles: 90.00 90.00 90.00
Last column: nearest neighbours and their distance in Å.
Space group P4/mmm (No. 123)
Symmetry-distinct sites (fractional):
Tl  0.0000  0.5000  0.0000 (multiplicity 2)  2 Fe 2.55
Fe  0.0000  0.0000  0.0000 (multiplicity 1)  2 C 1.79
Ag  0.5000  0.5000  0.5000 (multiplicity 1)  8 Tl 3.11
C  0.0000  0.0000  0.5000 (multiplicity 1)  2 Fe 1.79

=====

A PBEsol-optimized structure of TlIn2Hg. Source: Alexandria via LeMat-Bulk, functional meta-GGA SCAN.

Properties
Formation energy from the elements (eV per atom): 0.050
Electronic total energy (eV per cell): -207.10

abc: 3.4971 5.3855 5.4304
angles: 90.00 90.00 90.00
Last column: nearest neighbours and their distance in Å.
Space group Pmmm (No. 47)
Symmetry-distinct sites (fractional):
Tl  0.0000  0.0000  0.0000 (multiplicity 1)  4 In 3.21, 4 Hg 3.23, 2 Tl 3.50
In  0.0000  0.5000  0.5000 (multiplicity 1)  4 Hg 3.21, 6 In 3.23-3.50
In  0.5000  0.5000  0.0000 (multiplicity 1)  4 Tl 3.21, 6 In 3.23-3.50
Hg  0.5000  0.0000  0.5000 (multiplicity 1)  4 In 3.21, 4 Tl 3.23, 2 Hg 3.50

=====

A PBEsol-optimized structure of Cu3NiSb. Source: Alexandria via LeMat-Bulk, functional meta-GGA SCAN.

Properties
E_form (uncorrected) (meV/atom): 747
Electronic total energy (eV per cell): -95.30

abc: 4.3383 4.3383 4.3383
angles: 90.00 90.00 90.00
Last column: nearest neighbours and their distance in Å.
Space group Pm-3m (No. 221)
Symmetry-distinct sites (fractional):
Cu  0.0000  0.0000  0.5000 (multiplicity 3)  2 Ni 2.17
Ni  0.0000  0.0000  0.0000 (multiplicity 1)  6 Cu 2.17
Sb  0.5000  0.5000  0.5000 (multiplicity 1)  12 Cu 3.07

=====

A PBEsol-optimized structure of CeMgHg2. Source: Alexandria via LeMat-Bulk, functional meta-GGA SCAN.

Properties
Formation energy from the elements (eV per atom): -0.592
Electronic total energy (eV per cell): -752.96

abc: 7.1963 7.1963 7.1963
angles: 90.00 90.00 90.00
Last column: nearest neighbours and their distance in Å.
Space group Fm-3m (No. 225)
Symmetry-distinct sites (fractional):
Ce  0.0000  0.0000  0.0000 (multiplicity 4)  8 Hg 3.12
Mg  0.0000  0.0000  0.5000 (multiplicity 4)  8 Hg 3.12
Hg  0.2500  0.2500  0.2500 (multiplicity 8)  4 Ce 3.12, 4 Mg 3.12

=====

A PBEsol-optimized structure of TeP2WO. Source: Alexandria via LeMat-Bulk, functional meta-GGA SCAN.

Properties
E_form (uncorrected) (meV/atom): 844
Electronic total energy (eV per cell): -129.75

abc: 4.4922 4.4922 5.3305
angles: 90.00 90.00 90.00
Last column: nearest neighbours and their distance in Å.
Space group P4/mmm (No. 123)
Symmetry-distinct sites (fractional):
Te  0.0000  0.0000  0.0000 (multiplicity 1)  2 W 2.67
P  0.0000  0.5000  0.5000 (multiplicity 2)  2 W 2.25
W  0.0000  0.0000  0.5000 (multiplicity 1)  4 P 2.25
O  0.5000  0.5000  0.0000 (multiplicity 1)  4 Te 3.18, 8 P 3.49

=====

A PBEsol-optimized structure of MnAu2. Source: Alexandria via LeMat-Bulk, functional meta-GGA SCAN.

Properties
Relative energy among the computed polymorphs (meV/atom): 98
Formation energy from the elements (eV per atom): -0.340
Electronic total energy (eV per cell): -630.35

abc: 9.1859 3.8762 5.7406
angles: 90.00 109.84 90.00
Last column: nearest neighbours and their distance in Å.
Space group C2/m (No. 12)
Symmetry-distinct sites (fractional):
Mn  0.1671  0.0000  0.0980 (multiplicity 4)  9 Au 2.68-2.88, 3 Mn 2.89-2.92
Au  0.0097  0.5000  0.7660 (multiplicity 4)  7 Au 2.75-3.00, 5 Mn 2.76-2.80
Au  0.1732  0.0000  0.5990 (multiplicity 4)  4 Mn 2.68-2.88, 8 Au 2.81-2.99

=====

A PBEsol-optimized structure of Li2HfNi2. Source: Alexandria via LeMat-Bulk, functional meta-GGA SCAN.

Properties
Formation energy from the elements (eV per atom): -0.109
Electronic total energy (eV per cell): -200.69

abc: 3.3270 3.3270 12.5006
angles: 90.00 90.00 90.00
Last column: nearest neighbours and their distance in Å.
Space group I4/mmm (No. 139)
Symmetry-distinct sites (fractional):
Li  0.0000  0.5000  0.2500 (multiplicity 4)  4 Li 2.35, 4 Ni 2.55
Hf  0.0000  0.0000  0.0000 (multiplicity 2)  8 Ni 2.64
Ni  0.0000  0.0000  0.4050 (multiplicity 4)  1 Ni 2.38, 4 Li 2.55, 4 Hf 2.64

=====

A PBEsol-optimized structure of CdHIr3. Source: Alexandria via LeMat-Bulk, functional meta-GGA SCAN.

Properties
Electronic total energy (eV per cell): -245.51

abc: 3.9792 3.9792 3.9792
angles: 90.00 90.00 90.00
Last column: nearest neighbours and their distance in Å.
Space group Pm-3m (No. 221)
Symmetry-distinct sites (fractional):
Cd  0.0000  0.0000  0.0000 (multiplicity 1)  12 Ir 2.81
H  0.5000  0.5000  0.5000 (multiplicity 1)  6 Ir 1.99
Ir  0.0000  0.5000  0.5000 (multiplicity 3)  2 H 1.99

=====

A PBEsol-optimized structure of ZnPtCl2. Source: Alexandria via LeMat-Bulk, functional meta-GGA SCAN.

Properties
E_form (uncorrected) (meV/atom): 109
Relative energy among the computed polymorphs (meV/atom): 349
Electronic total energy (eV per cell): -198.45

abc: 3.5176 3.5176 11.6279
angles: 90.00 90.00 90.00
Last column: nearest neighbours and their distance in Å.
Space group I-4m2 (No. 119)
Symmetry-distinct sites (fractional):
Zn  0.0000  0.0000  0.0000 (multiplicity 2)  4 Cl 2.49
Pt  0.0000  0.5000  0.7500 (multiplicity 2)  4 Cl 2.49
Cl  0.0000  0.0000  0.5000 (multiplicity 2)  4 Zn 2.49
Cl  0.0000  0.5000  0.2500 (multiplicity 2)  4 Pt 2.49

=====

A PBEsol-optimized structure of Li9MgNi12O26. Source: Alexandria via LeMat-Bulk, functional meta-GGA SCAN.

Properties
E_form (uncorrected) (meV/atom): -1560
Electronic total energy (eV per cell): -457.47

abc: 7.4820 7.5853 8.0877
angles: 75.57 74.33 85.94
Last column: nearest neighbours and their distance in Å.
Space group P1 (No. 1)
Symmetry-distinct sites (fractional):
Li  0.0000  0.0000  0.0000 (multiplicity 1)  6 O 2.03-2.21
Li  0.0623  0.3790  0.3786 (multiplicity 1)  6 O 2.05-2.26
Li  0.1518  0.7604  0.7585 (multiplicity 1)  6 O 2.11-2.17
Li  0.2318  0.1446  0.1480 (multiplicity 1)  6 O 2.00-2.23
Li  0.2960  0.5220  0.5269 (multiplicity 1)  6 O 2.02-2.21
Li  0.5416  0.6918  0.6837 (multiplicity 1)  6 O 1.99-2.18
Li  0.6092  0.0806  0.0847 (multiplicity 1)  5 O 1.99-2.22
Li  0.6844  0.4386  0.4382 (multiplicity 1)  5 O 1.97-2.19
Li  0.7611  0.8396  0.8353 (multiplicity 1)  6 O 2.01-2.18
Mg  0.2297  0.1409  0.6468 (multiplicity 1)  6 O 2.01-2.07
Ni  0.0717  0.3799  0.8760 (multiplicity 1)  6 O 1.85-1.99
Ni  0.1495  0.7605  0.2609 (multiplicity 1)  6 O 1.85-2.03
Ni  0.3065  0.5357  0.0265 (multiplicity 1)  6 O 1.87-2.05
Ni  0.3849  0.9113  0.4144 (multiplicity 1)  6 O 1.86-1.90
Ni  0.4561  0.2975  0.8029 (multiplicity 1)  6 O 1.85-1.92
Ni  0.5350  0.6871  0.1792 (multiplicity 1)  6 O 1.88-2.00
Ni  0.6108  0.0732  0.5685 (multiplicity 1)  6 O 1.85-1.93
Ni  0.6883  0.4478  0.9538 (multiplicity 1)  6 O 1.86-1.95
Ni  0.7651  0.8326  0.3418 (multiplicity 1)  6 O 1.88-2.05
Ni  0.8424  0.2243  0.7226 (multiplicity 1)  6 O 1.86-1.90
Ni  0.9159  0.6099  0.1043 (multiplicity 1)  6 O 1.85-1.89
Ni  0.9930  0.9862  0.4959 (multiplicity 1)  6 O 1.86-2.05
O  0.0611  0.3615  0.6449 (multiplicity 1)  2 Ni 1.88-1.93, 1 Mg 2.02, 1 Li 2.07
O  0.0817  0.4098  0.1071 (multiplicity 1)  3 Ni 1.87-1.96
O  0.1282  0.7528  0.0303 (multiplicity 1)  3 Ni 1.86-2.05, 1 Li 2.03
O  0.1727  0.7689  0.4901 (multiplicity 1)  3 Ni 1.86-2.05, 1 Li 2.02
O  0.2179  0.1106  0.4041 (multiplicity 1)  2 Ni 1.86-1.89, 1 Li 2.00, 1 Mg 2.06
O  0.2229  0.1765  0.8934 (multiplicity 1)  2 Ni 1.85-1.90, 1 Li 2.03, 1 Mg 2.07
O  0.3048  0.5598  0.2548 (multiplicity 1)  3 Ni 1.85-1.91
O  0.3091  0.5161  0.7964 (multiplicity 1)  3 Ni 1.90-1.99, 2 Li 2.12
O  0.3907  0.9003  0.1857 (multiplicity 1)  3 Ni 1.86-2.03, 1 Li 2.06
O  0.3942  0.9199  0.6404 (multiplicity 1)  2 Ni 1.86-1.93, 1 Li 1.99, 1 Mg 2.01
O  0.4641  0.2881  0.5720 (multiplicity 1)  2 Ni 1.87-1.90, 1 Li 1.97, 1 Mg 2.01
O  0.4639  0.3074  0.0274 (multiplicity 1)  3 Ni 1.85-2.02, 2 Li 1.99-2.07
O  0.5369  0.6530  0.9424 (multiplicity 1)  3 Ni 1.86-1.99, 1 Li 2.03
O  0.5415  0.7018  0.4204 (multiplicity 1)  3 Ni 1.88-2.00
O  0.6101  0.0390  0.3411 (multiplicity 1)  3 Ni 1.88-1.92, 1 Li 2.02
O  0.6192  0.0930  0.8002 (multiplicity 1)  3 Ni 1.88-1.93
O  0.6797  0.4279  0.7263 (multiplicity 1)  3 Ni 1.88-1.90
O  0.6911  0.4816  0.1779 (multiplicity 1)  3 Ni 1.88-1.90, 1 Li 2.04
O  0.7602  0.8178  0.0930 (multiplicity 1)  3 Ni 1.89-2.05, 1 Li 2.05
O  0.7629  0.8691  0.5812 (multiplicity 1)  3 Ni 1.85-2.02, 2 Li 2.01-2.06
O  0.8340  0.2147  0.4979 (multiplicity 1)  3 Ni 1.86-2.03, 2 Li 2.00-2.05
O  0.8407  0.2366  0.9514 (multiplicity 1)  3 Ni 1.87-1.98, 2 Li 2.05-2.10
O  0.9090  0.6189  0.3328 (multiplicity 1)  3 Ni 1.85-2.03
O  0.9185  0.5870  0.8777 (multiplicity 1)  3 Ni 1.88-1.95
O  0.9839  0.0050  0.7296 (multiplicity 1)  2 Ni 1.90-1.91, 1 Li 2.02, 1 Mg 2.04
O  0.9922  0.9594  0.2685 (multiplicity 1)  3 Ni 1.85-1.90

=====

- What is the electronic total energy in the ninth record?
  -198.45 eV per cell

=====

- The highest electronic total energy belongs to which entry?
  Cu3NiSb

=====

- What is the electronic total energy in the fourth record?
  -752.96 eV per cell